# 1
This record from the Alexandria database describes an optimized crystal structure of NpSnH. The functional is PBE.

## Properties
* DFT total energy: -20.5 eV/f.u.
* energy relative to the lowest polymorph listed for this composition: 0.077 eV/atom
* M_tot: 1.33 μB/atom

Structure (extended XYZ):
```
3
Lattice="-4.2317 -2.6038 1.0448 -0.3726 -0.8030 -3.5105 1.8885 -2.1988 2.1694" Properties=species:S:1:pos:R:3 pbc="T T T"
Sn -1.6047 -3.4191 0.9524
H -0.8829 -0.5432 0.2180
Np -0.2283 -1.6432 -1.4668
```



# 2
This record from the Alexandria database describes an optimized crystal structure of TaCrAu2. The functional is PBE.

## Properties
* DFT total energy: -27.5 eV/f.u.
* energy relative to the lowest polymorph listed for this composition: 0.056 eV/atom
* energy of formation: 139 meV per atom
* M_tot: 0.66 μB/atom

Structure (extended XYZ):
```
4
Lattice="-1.3816 0.9620 -2.4332 -3.0644 -2.5961 0.7135 -2.6185 3.9261 3.0392" Properties=species:S:1:pos:R:3 pbc="T T T"
Au -0.0072 0.0108 0.0083
Au -1.3021 1.9523 1.5112
Cr -2.8776 0.1645 -0.1000
Ta -4.1868 2.1276 1.4196
```



# 3
This record from the Alexandria database describes an optimized crystal structure of SnOs. The functional is PBE.

## Properties
* DFT total energy: -13.4 eV/f.u.
* energy of formation: 914 meV per atom
* M_tot: 0.00 μB/atom

Structure (extended XYZ):
```
16
Lattice="8.0431 0.0000 0.0000 0.0000 8.0431 0.0000 0.0000 0.0000 8.0431" Properties=species:S:1:pos:R:3 pbc="T T T"
Sn 5.6383 2.4048 2.4048
Sn 1.6167 6.4263 6.4263
Sn 2.4048 5.6383 2.4048
Sn 5.6383 5.6383 5.6383
Sn 1.6167 1.6167 1.6167
Sn 2.4048 2.4048 5.6383
Sn 6.4263 6.4263 1.6167
Sn 6.4263 1.6167 6.4263
Os 0.9167 0.9167 7.1264
Os 0.9167 7.1264 0.9167
Os 4.9382 4.9382 3.1049
Os 4.9382 3.1049 4.9382
Os 3.1049 4.9382 4.9382
Os 3.1049 3.1049 3.1049
Os 7.1264 7.1264 7.1264
Os 7.1264 0.9167 0.9167
```



V (A^3/atom)
19.21 16.94 32.52
Calculated density (g/cm3)
10.28 15.37 7.89